# 1
DFT (PBE-GGA) results for TlGe2Au after structural relaxation.

```
4
Lattice="1.946 -0.942 4.470 -2.008 -3.499 2.895 2.431 -4.254 0.803" Properties=species:S:1:pos:R:3 pbc="T T T"
Tl 1.776 -6.521 6.126
Ge 0.592 -2.174 2.042
Ge 0.000 0.000 0.000
Au 1.184 -4.347 4.084
```

Results
Energy, eV/cell: -13.80
Crystal system: cubic
V, Å³ per cell: 86.6
Space group: F-43m, No. 216



# 2
DFT (PBE-GGA) results for PrNbPb after structural relaxation.

```
3
Lattice="-0.431 3.387 3.910 -4.090 -0.224 3.189 0.614 -1.601 4.900" Properties=species:S:1:pos:R:3 pbc="T T T"
Pr 0.000 0.000 0.000
Nb -0.977 0.390 3.000
Pb -2.930 1.171 8.999
```

Results
Size of the total moment, μB/atom: 1.2534
Energy, eV/cell: -15.73
Crystal system: cubic
V, Å³ per cell: 98.9
Space group: F-43m, No. 216



# 3
DFT (PBE-GGA) results for MgBeFe2 after structural relaxation.

```
4
Lattice="2.387 -2.625 -1.952 1.620 -3.132 1.992 -1.305 -3.762 -0.737" Properties=species:S:1:pos:R:3 pbc="T T T"
Fe 0.000 0.000 0.000
Fe 2.027 -7.140 -0.523
Mg 0.676 -2.380 -0.174
Be 1.351 -4.760 -0.348
```

Results
Size of the total moment, μB/atom: 0.9184
Energy, eV/cell: -21.20
Crystal system: cubic
V, Å³ per cell: 47.0
Space group: F-43m, No. 216



# 4
DFT (PBE-GGA) results for NaTbPt4 after structural relaxation.

```
6
Lattice="0.000 3.816 3.816 3.816 0.000 3.816 3.816 3.816 0.000" Properties=species:S:1:pos:R:3 pbc="T T T"
Pt 2.860 4.772 2.860
Na 0.000 0.000 0.000
Pt 4.772 2.860 2.860
Pt 4.772 4.772 4.772
Pt 2.860 2.860 4.772
Tb 1.908 1.908 1.908
```

Results
Size of the total moment, μB/atom: 0.0012
Energy, eV/cell: -35.10
Crystal system: cubic
V, Å³ per cell: 111.1
Space group: F-43m, No. 216



# 5
DFT (PBE-GGA) results for Li2Nb2Ga2IrPd after structural relaxation.

```
8
Lattice="-2.160 2.395 -2.962 -1.333 -3.665 -1.991 -5.038 -0.114 3.581" Properties=species:S:1:pos:R:3 pbc="T T T"
Li -4.265 -0.692 -0.686
Pd -2.519 -0.057 1.791
Ir -1.746 -0.635 -2.477
Li 0.000 0.000 0.000
Nb -4.896 1.111 1.232
Ga -2.363 1.168 -0.569
Nb -1.887 -1.860 -0.128
Ga -4.421 -1.917 1.673
```

Results
Size of the total moment, μB/atom: 0.1072
Energy, eV/cell: -47.21
Crystal system: tetragonal
V, Å³ per cell: 118.5
Space group: P-4m2, No. 115



# 6
DFT (PBE-GGA) results for Sc2Fe2SiGeN after structural relaxation.

```
7
Lattice="5.101 -1.846 0.000 5.101 1.846 0.000 -3.873 0.000 5.158" Properties=species:S:1:pos:R:3 pbc="T T T"
Fe 1.690 0.000 0.508
Sc 4.606 0.000 1.441
Ge -1.113 0.000 3.505
N 0.014 0.000 0.003
Fe 4.650 0.000 4.731
Sc 1.727 0.000 3.689
Si 7.416 0.000 1.596
```

Results
Size of the total moment, μB/atom: 0.0000
Energy, eV/cell: -53.10
Crystal system: monoclinic
V, Å³ per cell: 97.1
Space group: Cm, No. 8



# 7
DFT (PBE-GGA) results for ErAsN2O after structural relaxation.

```
20
Lattice="-3.657 -3.423 1.912 5.653 -4.167 3.352 -0.440 2.893 4.339" Properties=species:S:1:pos:R:3 pbc="T T T"
As -1.828 -1.712 0.956
N 1.700 -1.291 5.443
Er -0.394 -1.144 3.758
N -2.418 -1.730 2.811
N -0.144 -3.406 4.159
O 2.447 -4.475 3.860
Er 1.950 -3.553 5.844
As 0.998 -3.795 2.632
Er -2.019 -4.192 2.711
N -0.173 -2.705 6.845
N 1.729 -1.992 2.757
O 1.070 0.618 3.481
Er 3.575 -0.506 6.891
O -0.891 -0.222 5.742
N 2.101 -4.382 8.193
N 3.974 -2.968 6.792
As -0.220 1.447 2.169
As 2.607 -0.637 3.845
N -0.545 -0.316 1.409
O 0.486 -5.316 6.122
```

Results
Size of the total moment, μB/atom: 0.0003
Energy, eV/cell: -140.45
Crystal system: orthorhombic
V, Å³ per cell: 218.4
Space group: Pnma, No. 62



# 8
DFT (PBE-GGA) results for LiAu2 after structural relaxation.

```
6
Lattice="-1.831 3.056 1.619 0.414 -1.686 3.650 6.426 1.394 -0.085" Properties=species:S:1:pos:R:3 pbc="T T T"
Au 1.751 0.516 3.396
Au 3.257 2.249 1.788
Li 4.525 -0.045 2.822
Au 5.327 2.401 3.862
Au -0.318 0.363 1.323
Li 0.483 2.810 2.362
```

Results
Energy, eV/cell: -19.44
Crystal system: monoclinic
V, Å³ per cell: 99.3
Space group: P2_1/m, No. 11